No. 1
Entry from Alexandria: an optimized crystal structure of TaIBr3 (PBE-GGA).

Output
DFT total energy ... -19.050 eV/cell
ΔE_f (raw) ... -0.13 eV/atom
Energy above the most stable polymorph in this dataset ... 3.26 eV per formula unit
Magnetization ... 0.000 μB/cell

Geometry as CIF:
```
data_TaIBr3
_symmetry_space_group_name_H-M 'P m -3 m'
_symmetry_Int_Tables_number 221
_symmetry_space_group_name_Hall '-P 4 2 3'
_cell_length_a 5.1832
_cell_length_b 5.1832
_cell_length_c 5.1832
_cell_angle_alpha 90.00
_cell_angle_beta 90.00
_cell_angle_gamma 90.00
loop_
_atom_site_label
_atom_site_fract_x
_atom_site_fract_y
_atom_site_fract_z
Ta1 0.0000 0.0000 0.0000
I1 0.5000 0.5000 0.5000
Br1 0.0000 0.0000 0.5000
```

---

No. 2
Entry from Alexandria: an optimized crystal structure of MoP2Br (PBE-GGA).

Output
DFT total energy ... -78.286 eV/cell
ΔE_f (raw) ... 0.94 eV/atom
Energy above the most stable polymorph in this dataset ... 4.21 eV per formula unit
Magnetization ... 0.009 μB/cell

Geometry as CIF:
```
data_MoP2Br
_symmetry_space_group_name_H-M 'F m -3 m'
_symmetry_Int_Tables_number 225
_symmetry_space_group_name_Hall '-F 4 2 3'
_cell_length_a 6.3702
_cell_length_b 6.3702
_cell_length_c 6.3702
_cell_angle_alpha 90.00
_cell_angle_beta 90.00
_cell_angle_gamma 90.00
loop_
_atom_site_label
_atom_site_fract_x
_atom_site_fract_y
_atom_site_fract_z
Mo1 0.0000 0.0000 0.0000
P1 0.2500 0.2500 0.2500
Br1 0.0000 0.0000 0.5000
```

---

No. 3
Entry from Alexandria: an optimized crystal structure of Sm5Ho12Tm (PBE-GGA).

Output
DFT total energy ... -165.302 eV/cell
ΔH_f (0 K) ... 0.02 eV per atom
Magnetization ... 0.000 μB/cell

Geometry as CIF:
```
data_Sm5Ho12Tm
_symmetry_space_group_name_H-M 'C 1 2/m 1'
_symmetry_Int_Tables_number 12
_cell_length_a 18.4368
_cell_length_b 10.6386
_cell_length_c 6.1453
_cell_angle_alpha 90.00
_cell_angle_beta 109.32
_cell_angle_gamma 90.00
loop_
_symmetry_equiv_pos_as_xyz
'x,y,z'
'-x,-y,-z'
'-x,y,-z'
'x,-y,z'
'x+1/2,y+1/2,z'
'-x+1/2,-y+1/2,-z'
'-x+1/2,y+1/2,-z'
'x+1/2,-y+1/2,z'
loop_
_atom_site_label
_atom_site_fract_x
_atom_site_fract_y
_atom_site_fract_z
Sm1 0.0000 0.0000 0.0000
Sm2 0.1661 0.5000 0.9988
Sm3 0.1667 0.0000 0.5005
Ho1 0.0000 0.1686 0.5000
Ho2 0.0000 0.3336 0.0000
Ho3 0.1659 0.3333 0.4992
Ho4 0.1667 0.1679 0.0007
Tm1 0.0000 0.5000 0.5000
```